Entry 1:
Here is an optimized crystal structure of LaMg2Ir from Alexandria. Energies are from PBE.

The calculation puts the raw total energy at -16.85 eV per formula unit. Its density of states at the Fermi level is 3.43 states/eV/f.u. The crystal system is trigonal. The space group is R-3m, No. 166. As for the calculated volume: 87.4 Å³ per cell. The value obtained for the energy of formation from the pure elements is 0.1 eV per formula unit. As for the mass density: 7.22 g/cm3.

a b c (Å): 10.277 10.277 10.277
angles (deg): 17.68 17.68 17.68
Fractional positions:
Mg 0.982 0.982 0.982
Mg 0.518 0.518 0.518
Ir 0.250 0.250 0.250
La 0.750 0.750 0.750


Entry 2:
Here is an optimized crystal structure of Li3Eu from Alexandria. Energies are from PBE.

The calculation puts the raw total energy at -15.67 eV per formula unit. Its density of states at the Fermi level is 9.02 states/eV/f.u. The crystal system is orthorhombic. The space group is Imm2, No. 44. As for the calculated volume: 106.8 Å³ per cell. The value obtained for the energy of formation from the pure elements is 0.3 eV per formula unit. As for the mass density: 2.69 g/cm3.

a b c (Å): 3.666 5.535 6.223
angles (deg): 116.41 107.13 90.00
Fractional positions:
Li 0.777 0.195 0.555
Li 0.223 0.640 0.445
Li 0.500 0.416 0.000
Eu 0.000 0.916 0.000


Entry 3:
Here is an optimized crystal structure of Ho2HgF8 from Alexandria. Energies are from PBE.

The calculation puts the raw total energy at -61.16 eV per formula unit. Its density of states at the Fermi level is 0.00 states/eV/f.u. The crystal system is monoclinic. The space group is C2/m, No. 12. As for the calculated volume: 151.5 Å³ per cell. The calculation puts the energy above the most stable polymorph in this dataset at 47 kJ/mol of formula units. As for the mass density: 7.48 g/cm3. The value obtained for the uncorrected formation energy is -3340 meV per atom.

a b c (Å): 4.063 6.511 6.511
angles (deg): 67.72 104.97 104.97
Fractional positions:
F 0.417 0.333 0.932
F 0.994 0.212 0.212
F 0.006 0.788 0.788
F 0.583 0.068 0.667
F 0.195 0.441 0.441
F 0.805 0.559 0.559
F 0.417 0.932 0.333
F 0.583 0.667 0.068
Ho 0.405 0.672 0.672
Ho 0.595 0.328 0.328
Hg 0.000 0.000 0.000


Entry 4:
Here is an optimized crystal structure of ErThSnPd from Alexandria. Energies are from PBE.

The calculation puts the raw total energy at -23.42 eV per formula unit. Its density of states at the Fermi level is 3.94 states/eV/f.u. The crystal system is cubic. The space group is F-43m, No. 216. As for the calculated volume: 101.8 Å³ per cell. The value obtained for the energy of formation from the pure elements is -2.2 eV per formula unit. As for the mass density: 10.18 g/cm3.

a b c (Å): 5.242 5.242 5.242
angles (deg): 60.00 60.00 60.00
Fractional positions:
Th 0.000 0.000 0.000
Sn 0.250 0.250 0.250
Pd 0.750 0.750 0.750
Er 0.500 0.500 0.500


Entry 5:
Here is an optimized crystal structure of BaAsPt2 from Alexandria. Energies are from PBE.

The calculation puts the raw total energy at -19.69 eV per formula unit. Its density of states at the Fermi level is 2.51 states/eV/f.u. The crystal system is orthorhombic. The space group is Immm, No. 71. As for the calculated volume: 101.2 Å³ per cell. The value obtained for the energy of formation from the pure elements is -1.0 eV per formula unit. As for the mass density: 9.89 g/cm3.

a b c (Å): 5.437 5.437 5.437
angles (deg): 135.22 111.36 85.75
Fractional positions:
Ba 0.250 0.750 0.500
Pt 0.572 0.572 0.000
Pt 0.928 0.928 0.000
As 0.750 0.250 0.500


Entry 6:
Here is an optimized crystal structure of SrBeIr2N from Alexandria. Energies are from PBE.

The calculation puts the raw total energy at -25.97 eV per formula unit. Its density of states at the Fermi level is 7.52 states/eV/f.u. The crystal system is tetragonal. The space group is P4/mmm, No. 123. As for the calculated volume: 91.1 Å³ per cell. As for the mass density: 9.03 g/cm3. The value obtained for the uncorrected formation energy is 1098 meV per atom.

a b c (Å): 4.061 5.522 4.061
angles (deg): 90.00 90.00 90.00
Fractional positions:
Ir 0.500 0.000 0.000
Ir 0.000 0.000 0.500
Sr 0.000 0.500 0.000
N 0.500 0.500 0.500
Be 0.000 0.000 0.000


Entry 7:
Here is an optimized crystal structure of La8HgPt2 from Alexandria. Energies are from PBE.

The calculation puts the raw total energy at -56.86 eV per formula unit. Its density of states at the Fermi level is 14.02 states/eV/f.u. The crystal system is monoclinic. The space group is Cm, No. 8. As for the calculated volume: 353.8 Å³ per cell. The value obtained for the energy of formation from the pure elements is -5.1 eV per formula unit. As for the mass density: 7.99 g/cm3.

a b c (Å): 5.930 8.368 8.368
angles (deg): 116.40 99.36 99.36
Fractional positions:
Pt 0.501 0.290 0.717
Pt 0.501 0.717 0.290
Hg 0.998 0.004 0.004
La 0.000 0.762 0.242
La 0.441 0.669 0.908
La 0.000 0.242 0.762
La 0.559 0.337 0.098
La 0.190 0.402 0.402
La 0.811 0.606 0.606
La 0.441 0.908 0.669
La 0.559 0.098 0.337


Entry 8:
Here is an optimized crystal structure of Cs3SrCr2Cl9 from Alexandria. Energies are from PBE.

The calculation puts the raw total energy at -65.40 eV per formula unit. Its density of states at the Fermi level is 1.95 states/eV/f.u. The crystal system is trigonal. The space group is P-3m1, No. 164. As for the calculated volume: 441.6 Å³ per cell. As for the mass density: 3.42 g/cm3. The value obtained for the uncorrected formation energy is -1686 meV per atom.

a b c (Å): 7.447 7.447 9.194
angles (deg): 90.00 90.00 120.00
Fractional positions:
Cl 0.646 0.823 0.314
Cl 0.823 0.177 0.686
Cl 0.823 0.646 0.686
Cl 0.000 0.500 0.000
Cl 0.354 0.177 0.686
Cl 0.500 0.000 0.000
Cl 0.177 0.354 0.314
Cl 0.177 0.823 0.314
Cl 0.500 0.500 0.000
Sr 0.000 0.000 0.500
Cs 0.667 0.333 0.325
Cs 0.333 0.667 0.675
Cs 0.000 0.000 0.000
Cr 0.667 0.333 0.849
Cr 0.333 0.667 0.151